1.
MnSb2Rh after structural relaxation, computed with PBE-GGA. Values from VASP.

Quantum ESPRESSO input file:
```
&SYSTEM
  ibrav = 0, nat = 8, ntyp = 3
/
ATOMIC_SPECIES
Mn 54.94 Mn.upf
Sb 121.76 Sb.upf
Rh 102.91 Rh.upf
CELL_PARAMETERS angstrom
-2.253 2.253 8.479
2.253 -2.253 8.479
2.253 2.253 -8.479
ATOMIC_POSITIONS crystal
Mn 0.000 0.000 0.000
Mn 0.750 0.250 0.500
Sb 0.134 0.625 0.009
Sb 0.375 0.384 0.509
Sb 0.616 0.125 0.991
Sb 0.875 0.866 0.491
Rh 0.250 0.750 0.500
Rh 0.500 0.500 0.000
```

Calculated values
* energy relative to the elements, uncorrected: 8.0 kJ/mol of atoms
* mass density: 7.74 Mg/m³
* VASP energy: -24.44 eV per formula unit
* Fermi-level density of states: 5.5 states/eV/cell

---

2.
Ac3EuIr after structural relaxation, computed with PBE-GGA. Values from VASP.

Quantum ESPRESSO input file:
```
&SYSTEM
  ibrav = 0, nat = 5, ntyp = 3
/
ATOMIC_SPECIES
Ac 227.00 Ac.upf
Eu 151.96 Eu.upf
Ir 192.22 Ir.upf
CELL_PARAMETERS angstrom
5.958 0.000 0.000
0.000 5.958 0.000
0.000 0.000 5.958
ATOMIC_POSITIONS crystal
Ac 0.000 0.000 0.500
Ac 0.000 0.500 0.000
Ac 0.500 0.000 0.000
Eu 0.500 0.500 0.500
Ir 0.000 0.000 0.000
```

Calculated values
* mass density: 8.05 Mg/m³
* VASP energy: -33.02 eV per formula unit
* DFT formation energy: -0.311 eV/atom
* Fermi-level density of states: 5.3 states/eV/cell